PBE ZrGaIrOs, relaxed; N(E_F) = 0.379 states/eV/f.u.; energy relative to the elements = -0.50 eV/atom; E = -33.7 eV per cell; M_tot = 0.00 μB per cell; space-group type = No. 216
1.0
4.497 0.000 0.000
2.248 3.894 0.000
2.248 1.298 3.672
Ga Ir Os Zr
1 1 1 1
direct
0.250 0.250 0.250
0.000 0.000 0.000
0.500 0.500 0.500
0.750 0.750 0.750